Ac2Si2HOs2 | GGA-PBE | relaxed

a b c (Å): 11.364 4.246 7.431
angles (deg): 90.00 128.43 90.00
Space group C2/m (No. 12)
Symmetry-distinct sites (fractional):
Ac  0.061  0.000  0.309
Si  0.185  0.500  0.755
H  0.000  0.500  0.000
Os  0.198  0.500  0.095

Computed properties:
VASP energy (hartree per atom): -0.2508
M_tot (μB per formula unit): 0.00
V (Å³/cell): 280.9

***

Sr2CoTeIr | GGA-PBE | relaxed

a b c (Å): 5.592 5.592 4.555
angles (deg): 90.00 90.00 90.00
Space group P4/mmm (No. 123)
Symmetry-distinct sites (fractional):
Sr  0.000  0.500  0.000
Co  0.000  0.000  0.000
Te  0.000  0.000  0.500
Ir  0.500  0.500  0.500

Computed properties:
Energy above the most stable polymorph in this dataset (eV/f.u.): 0.15
M_tot (μB per formula unit): 0.74
V (Å³/cell): 142.4

***

NpB6Ir12 | GGA-PBE | relaxed

a b c (Å): 10.3459 10.3459 8.0903
angles (deg): 90.00 90.00 120.00
Space group R-3m (No. 166, hexagonal axes)
Symmetry-distinct sites (fractional):
Np  0.0000  0.0000  0.0000
B  0.0430  0.5215  0.2927
Ir  0.0000  0.3642  0.5000
Ir  0.0861  0.1721  0.3564

Computed properties:
VASP energy (hartree per atom): -0.3150
M_tot (μB per formula unit): 3.23
V (Å³/cell): 750.0

***

KCuAuBr6 | GGA-PBE | relaxed

a b c (Å): 5.961 6.453 9.521
angles (deg): 95.34 90.33 106.82
Space group P1 (No. 1)
Symmetry-distinct sites (fractional):
K  0.000  0.000  0.000
Cu  0.669  0.457  0.313
Au  0.364  0.527  0.639
Br  0.033  0.663  0.234
Br  0.327  0.246  0.434
Br  0.439  0.817  0.838
Br  0.567  0.204  0.108
Br  0.720  0.728  0.518
Br  0.995  0.318  0.738

Computed properties:
VASP energy (hartree per atom): -0.0955
M_tot (μB per formula unit): 1.06
V (Å³/cell): 348.9

***

Pu4GaGe2Au | GGA-PBE | relaxed

a b c (Å): 5.0684 5.0684 24.9397
angles (deg): 90.00 90.00 120.00
Space group R-3m (No. 166, hexagonal axes)
Symmetry-distinct sites (fractional):
Pu  0.0000  0.0000  0.1239
Pu  0.0000  0.0000  0.3740
Ga  0.0000  0.0000  0.0000
Ge  0.0000  0.0000  0.2513
Au  0.0000  0.0000  0.5000

Computed properties:
VASP energy (hartree per atom): -0.3476
M_tot (μB per formula unit): 23.52
V (Å³/cell): 554.8

***

Np4SiP | GGA-PBE | relaxed

a b c (Å): 3.517 5.422 11.061
angles (deg): 90.00 90.00 90.00
Space group Immm (No. 71)
Symmetry-distinct sites (fractional):
Np  0.000  0.248  0.175
Si  0.000  0.000  0.500
P  0.000  0.500  0.500

Computed properties:
VASP energy (hartree per atom): -0.3926
M_tot (μB per formula unit): 0.00
V (Å³/cell): 211.0

***

NdTmZn4 | GGA-PBE | relaxed

a b c (Å): 5.342 5.339 9.867
angles (deg): 90.00 90.13 90.00
Space group C2/m (No. 12)
Symmetry-distinct sites (fractional):
Nd  0.000  0.000  0.000
Tm  0.000  0.500  0.500
Zn  0.250  0.250  0.259

Computed properties:
Energy above the most stable polymorph in this dataset (eV/f.u.): 2.19
M_tot (μB per formula unit): 0.00
V (Å³/cell): 281.4

***

Ti2VS | GGA-PBE | relaxed

a b c (Å): 3.1336 3.1336 22.0226
angles (deg): 90.00 90.00 120.00
Space group R-3m (No. 166, hexagonal axes)
Symmetry-distinct sites (fractional):
Ti  0.0000  0.0000  0.2418
V  0.0000  0.0000  0.0000
S  0.0000  0.0000  0.5000

Computed properties:
VASP energy (hartree per atom): -0.2849
M_tot (μB per formula unit): 0.56
V (Å³/cell): 187.3

***

- Which of these has the highest V?
  NpB6Ir12

***

- Which formula does entry 5 have?
  Pu4GaGe2Au

***

- Look up the V of the first one.
  280.9 Å³/cell